1.
Material: MgCd2
Method: DFT, PBE
State: relaxed

Final energy: -0.0850 Ry per atom
SG: P-3m1, No. 164
Size of the total moment: 0.00 μB/cell

abc: 3.1491 3.1491 15.6925
angles: 90.00 90.00 120.00
Fractional coordinates of all 6 atoms:
Mg 0.3333 0.6667 0.4168
Mg 0.6667 0.3333 0.5832
Cd 0.3333 0.6667 0.0854
Cd 0.3333 0.6667 0.7454
Cd 0.6667 0.3333 0.2546
Cd 0.6667 0.3333 0.9146

2.
Material: MgAlHg2
Method: DFT, PBE
State: relaxed

Final energy: -0.1081 Ry per atom
SG: Imm2, No. 44
Size of the total moment: 0.00 μB/cell

abc: 5.9558 5.9558 5.9558
angles: 143.13 136.50 58.31
Fractional coordinates of all 4 atoms:
Mg 0.0000 0.0000 0.0000
Al 0.7559 0.2559 0.5000
Hg 0.2722 0.7722 0.5000
Hg 0.5315 0.5315 0.0000

3.
Material: ErGa4Ir
Method: DFT, PBE
State: relaxed

Final energy: -0.3267 Ry per atom
SG: P4_2/nmc, No. 137
Size of the total moment: 0.00 μB/cell

abc: 7.2281 7.2281 5.2674
angles: 90.00 90.00 90.00
Fractional coordinates of all 12 atoms:
Er 0.2500 0.7500 0.2500
Er 0.7500 0.2500 0.7500
Ga 0.0842 0.2500 0.2100
Ga 0.2500 0.0842 0.7100
Ga 0.2500 0.4158 0.7100
Ga 0.4158 0.2500 0.2100
Ga 0.5842 0.7500 0.7900
Ga 0.7500 0.5842 0.2900
Ga 0.7500 0.9158 0.2900
Ga 0.9158 0.7500 0.7900
Ir 0.2500 0.7500 0.7500
Ir 0.7500 0.2500 0.2500